The following is a DFT calculation (GGA-PBE) of a relaxed Ga3ReGe crystal.

It has space group P1 (No. 1), with a = 4.9380 Å, b = 5.0493 Å, c = 7.5470 Å, α = 75.41°, β = 88.06° and γ = 82.75°. The inequivalent atoms are Ga at (0.0000, 0.0000, 0.0000), Ga at (0.0209, 0.2300, 0.4838), Ga at (0.4197, 0.0183, 0.2279), Ga at (0.4640, 0.5008, 0.4860), Ga at (0.6754, 0.9193, 0.7356), Ga at (0.9147, 0.7888, 0.4204), Re at (0.2243, 0.5527, 0.1890), Re at (0.7572, 0.3991, 0.7619), Ge at (0.2485, 0.4737, 0.8597) and Ge at (0.7336, 0.4808, 0.0981).

The calculation puts the calculated volume at 18.06 Å³ per atom. For the formation energy from the elements, the calculation gives 24.2 meV/atom. The value obtained for the uncorrected energy is -52.1 eV/cell. As for the spin magnetization: 0.00 μB per formula unit. Its polymorph energy (0 for the lowest one) is 0.012 eV/atom.

***

The following is a DFT calculation (GGA-PBE) of a relaxed Ga3ReGe crystal.

It has space group P6_3/mmc (No. 194), with a = 4.5186 Å, b = 4.5186 Å, c = 10.1672 Å, α = 90.00°, β = 90.00° and γ = 120.00°. The inequivalent atoms are Ga at (0.0000, 0.0000, 0.2500), Ga at (0.3333, 0.6667, 0.0540), Re at (0.0000, 0.0000, 0.0000) and Ge at (0.3333, 0.6667, 0.7500).

The calculation puts the calculated volume at 17.98 Å³ per atom. For the formation energy from the elements, the calculation gives 342.5 meV/atom. The value obtained for the uncorrected energy is -48.9 eV/cell. As for the spin magnetization: 0.00 μB per formula unit. Its polymorph energy (0 for the lowest one) is 0.330 eV/atom.

***

The following is a DFT calculation (GGA-PBE) of a relaxed Ga3ReGe crystal.

It has space group Pnma (No. 62), with a = 5.6277 Å, b = 8.2626 Å, c = 8.3449 Å, α = 90.00°, β = 90.00° and γ = 90.00°. The inequivalent atoms are Ga at (0.2220, 0.2500, 0.0007), Ga at (0.2502, 0.0008, 0.7499), Re at (0.0000, 0.0000, 0.5000) and Ge at (0.2340, 0.7500, 0.9993).

The calculation puts the calculated volume at 19.40 Å³ per atom. For the formation energy from the elements, the calculation gives 73.9 meV/atom. The value obtained for the uncorrected energy is -103.1 eV/cell. As for the spin magnetization: 0.00 μB per formula unit. Its polymorph energy (0 for the lowest one) is 0.061 eV/atom.

***

The following is a DFT calculation (GGA-PBE) of a relaxed Ga3ReGe crystal.

It has space group Amm2 (No. 38), with a = 3.2158 Å, b = 8.7022 Å, c = 6.7052 Å, α = 90.00°, β = 90.00° and γ = 90.00°. The inequivalent atoms are Ga at (0.0000, 0.0000, 0.0000), Ga at (0.5000, 0.2244, 0.3200), Re at (0.0000, 0.0000, 0.3757) and Ge at (0.5000, 0.0000, 0.6692).

The calculation puts the calculated volume at 18.76 Å³ per atom. For the formation energy from the elements, the calculation gives 261.9 meV/atom. The value obtained for the uncorrected energy is -49.7 eV/cell. As for the spin magnetization: 0.00 μB per formula unit. Its polymorph energy (0 for the lowest one) is 0.249 eV/atom.

***

The following is a DFT calculation (GGA-PBE) of a relaxed Ga3ReGe crystal.

It has space group P4mm (No. 99), with a = 4.7701 Å, b = 4.7701 Å, c = 4.9684 Å, α = 90.00°, β = 90.00° and γ = 90.00°. The inequivalent atoms are Ga at (0.0000, 0.0000, 0.0000), Ga at (0.0000, 0.5000, 0.5868), Re at (0.0000, 0.0000, 0.4979) and Ge at (0.5000, 0.5000, 0.2414).

The calculation puts the calculated volume at 22.61 Å³ per atom. For the formation energy from the elements, the calculation gives 350.5 meV/atom. The value obtained for the uncorrected energy is -24.4 eV/cell. As for the spin magnetization: 0.00 μB per formula unit. Its polymorph energy (0 for the lowest one) is 0.338 eV/atom.

***

The following is a DFT calculation (GGA-PBE) of a relaxed Ga3ReGe crystal.

It has space group I-4m2 (No. 119), with a = 5.0637 Å, b = 5.0637 Å, c = 17.6301 Å, α = 90.00°, β = 90.00° and γ = 90.00°. The inequivalent atoms are Ga at (0.0000, 0.0000, 0.2312), Ga at (0.0000, 0.2508, 0.6262), Re at (0.0000, 0.0000, 0.5000), Re at (0.0000, 0.5000, 0.7500) and Ge at (0.0000, 0.5000, 0.0097).

The calculation puts the calculated volume at 22.60 Å³ per atom. For the formation energy from the elements, the calculation gives 90.8 meV/atom. The value obtained for the uncorrected energy is -102.8 eV/cell. As for the spin magnetization: 0.00 μB per formula unit. Its polymorph energy (0 for the lowest one) is 0.078 eV/atom.

***

The following is a DFT calculation (GGA-PBE) of a relaxed SrGa2ReGe crystal.

It has space group P4/mmm (No. 123), with a = 4.8996 Å, b = 4.8996 Å, c = 4.8410 Å, α = 90.00°, β = 90.00° and γ = 90.00°. The inequivalent atoms are Sr at (0.0000, 0.0000, 0.0000), Ga at (0.0000, 0.5000, 0.5000), Re at (0.5000, 0.5000, 0.5000) and Ge at (0.5000, 0.5000, 0.0000).

The calculation puts the calculated volume at 23.24 Å³ per atom. For the formation energy from the elements, the calculation gives -201.3 meV/atom. The value obtained for the uncorrected energy is -25.8 eV/cell. As for the spin magnetization: 0.00 μB per formula unit.

***

The following is a DFT calculation (GGA-PBE) of a relaxed Ga2Ge5Rh12 crystal.

It has space group C2/m (No. 12), with a = 13.5663 Å, b = 5.7214 Å, c = 7.9894 Å, α = 90.00°, β = 98.92° and γ = 90.00°. The inequivalent atoms are Ga at (0.0000, 0.2425, 0.0000), Ge at (0.0000, 0.5000, 0.5000), Ge at (0.1605, 0.0000, 0.8501), Ge at (0.2125, 0.0000, 0.3767), Rh at (0.0242, 0.0000, 0.2771), Rh at (0.0581, 0.5000, 0.2450), Rh at (0.1420, 0.2421, 0.5846) and Rh at (0.1866, 0.2437, 0.1163).

The calculation puts the calculated volume at 16.12 Å³ per atom. For the formation energy from the elements, the calculation gives -259.0 meV/atom. The value obtained for the uncorrected energy is -244.6 eV/cell. As for the spin magnetization: 0.00 μB per formula unit.

***

The following is a DFT calculation (GGA-PBE) of a relaxed GaGeRh2 crystal.

It has space group P4/mmm (No. 123), with a = 2.9423 Å, b = 2.9423 Å, c = 6.6273 Å, α = 90.00°, β = 90.00° and γ = 90.00°. The inequivalent atoms are Ga at (0.0000, 0.0000, 0.0000), Ge at (0.0000, 0.0000, 0.5000) and Rh at (0.5000, 0.5000, 0.2542).

The calculation puts the calculated volume at 14.34 Å³ per atom. For the formation energy from the elements, the calculation gives -508.7 meV/atom. The value obtained for the uncorrected energy is -24.4 eV/cell. As for the spin magnetization: 0.00 μB per formula unit.

***

The following is a DFT calculation (GGA-PBE) of a relaxed Ga4GeRh5 crystal.

It has space group P4/mmm (No. 123), with a = 2.9735 Å, b = 2.9735 Å, c = 15.9858 Å, α = 90.00°, β = 90.00° and γ = 90.00°. The inequivalent atoms are Ga at (0.0000, 0.0000, 0.0985), Ga at (0.0000, 0.0000, 0.2963), Ge at (0.0000, 0.0000, 0.5000), Rh at (0.5000, 0.5000, 0.0000), Rh at (0.5000, 0.5000, 0.1973) and Rh at (0.5000, 0.5000, 0.3997).

The calculation puts the calculated volume at 14.13 Å³ per atom. For the formation energy from the elements, the calculation gives -612.6 meV/atom. The value obtained for the uncorrected energy is -59.6 eV/cell. As for the spin magnetization: 0.00 μB per formula unit.